This record from Alexandria via LeMat-Bulk describes a geometry-optimized V2ReO structure. The functional is GGA+U.

## Properties
Calculated volume in Å³/f.u.: 59.0
N(E_F) in states/eV per atom: 0.901
ρ in g/cm³: 8.56
Final energy in eV per atom: -7.80

Cell: 5.7672 5.7672 5.4053 Å, 57.76 57.76 90.00°
Each line ends with the local moment (μB).
Positions (direct):
1 Re 0.0000 0.0000 0.0000  -1.21
2 Re 0.7500 0.2500 0.5000  -1.21
3 O 0.5000 0.5000 0.0000  -0.07
4 O 0.2500 0.7500 0.5000  -0.07
5 V 0.5409 0.1250 0.2500  1.84
6 V 0.2091 0.6250 0.2500  1.84
7 V 0.3750 0.4591 0.7500  1.84
8 V 0.8750 0.7909 0.7500  1.84